This record from Alexandria describes a relaxed structure of K2InTcBi. The functional is GGA-PBE.

Lattice parameters (Å, degrees): 6.349 6.349 5.593 90.00 90.00 90.00
Fractional coordinates of all 5 atoms:
1 K 0.000 0.500 0.000
2 K 0.500 0.000 0.000
3 In 0.000 0.000 0.500
4 Tc 0.500 0.500 0.500
5 Bi 0.000 0.000 0.000

Properties
As for the crystal system: tetragonal. Its total energy is -0.1984 Ry/atom. Its total magnetic moment is 0.795 μB per atom.



This record from Alexandria describes a relaxed structure of K2InBiTe4. The functional is GGA-PBE.

Lattice parameters (Å, degrees): 7.315 7.315 7.315 106.02 106.02 116.63
Fractional coordinates of all 8 atoms:
1 K 0.000 0.500 0.500
2 K 0.500 0.000 0.500
3 In 0.000 0.000 0.000
4 Bi 0.500 0.500 0.000
5 Te 0.049 0.412 0.000
6 Te 0.412 0.049 0.000
7 Te 0.588 0.588 0.637
8 Te 0.951 0.951 0.363

Properties
As for the crystal system: tetragonal. Its total magnetic moment is 0.000 μB per atom. The calculation puts the raw formation energy at -0.611 eV/atom.



This record from Alexandria describes a relaxed structure of K3InBi3Te8. The functional is GGA-PBE.

Lattice parameters (Å, degrees): 8.904 8.904 10.089 116.48 116.48 59.63
Fractional coordinates of all 15 atoms:
1 K 0.000 0.000 0.000
2 K 0.000 0.500 0.000
3 K 0.500 0.000 0.000
4 In 0.000 0.000 0.500
5 Bi 0.000 0.500 0.500
6 Bi 0.500 0.000 0.500
7 Bi 0.500 0.500 0.500
8 Te 0.228 0.228 0.704
9 Te 0.228 0.748 0.705
10 Te 0.252 0.772 0.295
11 Te 0.263 0.263 0.288
12 Te 0.737 0.737 0.712
13 Te 0.748 0.228 0.705
14 Te 0.772 0.252 0.295
15 Te 0.772 0.772 0.296

Properties
As for the crystal system: monoclinic. Its total magnetic moment is 0.000 μB per atom. The calculation puts the raw formation energy at -0.489 eV/atom.



This record from Alexandria describes a relaxed structure of KTiInBi2. The functional is GGA-PBE.

Lattice parameters (Å, degrees): 5.485 5.485 5.518 90.00 90.00 90.00
Fractional coordinates of all 5 atoms:
1 K 0.000 0.000 0.000
2 Ti 0.500 0.500 0.500
3 In 0.500 0.500 0.000
4 Bi 0.000 0.500 0.500
5 Bi 0.500 0.000 0.500

Properties
As for the crystal system: tetragonal. Its total energy is -0.2946 Ry/atom. Its total magnetic moment is 0.000 μB per atom.



This record from Alexandria describes a relaxed structure of KTl2InBi. The functional is GGA-PBE.

Lattice parameters (Å, degrees): 8.265 8.265 8.265 146.33 144.46 49.76
Fractional coordinates of all 5 atoms:
1 K 0.000 0.000 0.000
2 Tl 0.623 0.623 0.000
3 Tl 0.765 0.265 0.500
4 In 0.261 0.761 0.500
5 Bi 0.401 0.401 0.000

Properties
As for the crystal system: orthorhombic. Its total energy is -0.1915 Ry/atom. Its total magnetic moment is 0.000 μB per atom.



This record from Alexandria describes a relaxed structure of K3Tl4In2Bi2. The functional is GGA-PBE.

Lattice parameters (Å, degrees): 5.389 5.389 16.286 90.00 90.00 120.00
Fractional coordinates of all 11 atoms:
1 K 0.000 0.000 0.000
2 K 0.000 0.000 0.259
3 K 0.000 0.000 0.741
4 Tl 0.333 0.667 0.395
5 Tl 0.333 0.667 0.921
6 Tl 0.667 0.333 0.079
7 Tl 0.667 0.333 0.605
8 In 0.333 0.667 0.588
9 In 0.667 0.333 0.412
10 Bi 0.333 0.667 0.131
11 Bi 0.667 0.333 0.869

Properties
As for the crystal system: trigonal. Its total energy is -0.1810 Ry/atom. Its total magnetic moment is 0.000 μB per atom.



This record from Alexandria describes a relaxed structure of K2Tl6InBi. The functional is GGA-PBE.

Lattice parameters (Å, degrees): 14.862 14.862 14.862 31.35 31.35 31.35
Fractional coordinates of all 20 atoms:
1 K 0.100 0.100 0.100
2 K 0.279 0.279 0.279
3 K 0.721 0.721 0.721
4 K 0.900 0.900 0.900
5 Tl 0.075 0.664 0.664
6 Tl 0.226 0.226 0.626
7 Tl 0.226 0.626 0.226
8 Tl 0.336 0.336 0.925
9 Tl 0.336 0.925 0.336
10 Tl 0.374 0.774 0.774
11 Tl 0.626 0.226 0.226
12 Tl 0.664 0.075 0.664
13 Tl 0.664 0.664 0.075
14 Tl 0.774 0.374 0.774
15 Tl 0.774 0.774 0.374
16 Tl 0.925 0.336 0.336
17 In 0.000 0.000 0.000
18 In 0.500 0.500 0.500
19 Bi 0.423 0.423 0.423
20 Bi 0.577 0.577 0.577

Properties
As for the crystal system: trigonal. Its total energy is -0.1683 Ry/atom. Its total magnetic moment is 0.000 μB per atom.



This record from Alexandria describes a relaxed structure of KTl2In2Bi2. The functional is GGA-PBE.

Lattice parameters (Å, degrees): 9.539 9.539 9.539 34.46 34.46 34.46
Fractional coordinates of all 7 atoms:
1 K 0.000 0.000 0.000
2 Tl 0.131 0.131 0.131
3 Tl 0.869 0.869 0.869
4 In 0.440 0.440 0.440
5 In 0.560 0.560 0.560
6 Bi 0.249 0.249 0.249
7 Bi 0.751 0.751 0.751

Properties
As for the crystal system: trigonal. Its total energy is -0.2051 Ry/atom. Its total magnetic moment is 0.000 μB per atom.



This record from Alexandria describes a relaxed structure of K2TlInBi2. The functional is GGA-PBE.

Lattice parameters (Å, degrees): 9.701 9.701 9.701 133.54 68.07 133.21
Fractional coordinates of all 12 atoms:
1 K 0.164 0.239 0.403
2 K 0.336 0.739 0.075
3 K 0.664 0.261 0.925
4 K 0.836 0.761 0.597
5 Tl 0.250 0.250 0.000
6 Tl 0.750 0.750 0.000
7 In 0.250 0.750 0.500
8 In 0.750 0.250 0.500
9 Bi 0.105 0.727 0.832
10 Bi 0.395 0.227 0.622
11 Bi 0.605 0.773 0.378
12 Bi 0.895 0.273 0.168

Properties
As for the crystal system: orthorhombic. Its total energy is -0.2050 Ry/atom. Its total magnetic moment is 0.000 μB per atom.



This record from Alexandria describes a relaxed structure of K2YInBi. The functional is GGA-PBE.

Lattice parameters (Å, degrees): 6.657 6.657 5.795 90.00 90.00 90.00
Fractional coordinates of all 5 atoms:
1 K 0.000 0.500 0.000
2 K 0.500 0.000 0.000
3 Y 0.000 0.000 0.500
4 In 0.500 0.500 0.500
5 Bi 0.500 0.500 0.000

Properties
As for the crystal system: tetragonal. Its total energy is -0.1868 Ry/atom. Its total magnetic moment is 0.236 μB per atom.



This record from Alexandria describes a relaxed structure of KZnInBi2. The functional is GGA-PBE.

Lattice parameters (Å, degrees): 6.107 6.107 6.199 90.00 90.00 90.00
Fractional coordinates of all 5 atoms:
1 K 0.000 0.000 0.000
2 Zn 0.500 0.500 0.500
3 In 0.000 0.000 0.500
4 Bi 0.000 0.500 0.000
5 Bi 0.500 0.000 0.000

Properties
As for the crystal system: tetragonal. Its total energy is -0.1164 Ry/atom. Its total magnetic moment is 0.000 μB per atom.



This record from Alexandria describes a relaxed structure of KZnInBi. The functional is GGA-PBE.

Lattice parameters (Å, degrees): 5.536 5.536 5.536 60.00 60.00 60.00
Fractional coordinates of all 4 atoms:
1 K 0.000 0.000 0.000
2 Zn 0.250 0.250 0.250
3 In 0.750 0.750 0.750
4 Bi 0.500 0.500 0.500

Properties
As for the crystal system: cubic. Its total energy is -0.1649 Ry/atom. Its total magnetic moment is 0.000 μB per atom.



> What is the total magnetic moment in the third record?

0.000 μB per atom



> Among the records above, which one has the highest total magnetic moment?

K2InTcBi